Record 1
! PBE-GGA BaLiAcIn, relaxed; values from VASP
! * calculated volume: 145.5 Å³/cell
! * symmetry: F-43m (216)
! * total magnetization: 0.000 μB/atom
! * formation enthalpy at 0 K: -0.18 eV per atom
&SYSTEM
  ibrav = 0, nat = 4, ntyp = 4
/
ATOMIC_SPECIES
Ba 137.33 Ba.upf
Li 6.94 Li.upf
Ac 227.00 Ac.upf
In 114.82 In.upf
CELL_PARAMETERS angstrom
0.000 4.174 4.174
4.174 0.000 4.174
4.174 4.174 0.000
ATOMIC_POSITIONS crystal
Ba 0.000 0.000 0.000
Li 0.750 0.750 0.750
Ac 0.500 0.500 0.500
In 0.250 0.250 0.250


Record 2
! PBE-GGA Pu2GaRu, relaxed; values from VASP
! * calculated volume: 80.9 Å³/cell
! * symmetry: P4/mmm (123)
! * total magnetization: 2.440 μB/atom
! * formation enthalpy at 0 K: -0.22 eV per atom
&SYSTEM
  ibrav = 0, nat = 4, ntyp = 3
/
ATOMIC_SPECIES
Pu 244.00 Pu.upf
Ga 69.72 Ga.upf
Ru 101.07 Ru.upf
CELL_PARAMETERS angstrom
3.710 0.000 0.000
0.000 3.710 0.000
0.000 0.000 5.879
ATOMIC_POSITIONS crystal
Pu 0.000 0.000 0.244
Pu 0.000 0.000 0.756
Ga 0.500 0.500 0.500
Ru 0.500 0.500 0.000


Record 3
! PBE-GGA Tb7GeSe5, relaxed; values from VASP
! * calculated volume: 654.9 Å³/cell
! * symmetry: C2/m (12)
! * total magnetization: 0.000 μB/atom
! * formation energy (no corrections): -1519.5 meV per atom
&SYSTEM
  ibrav = 0, nat = 26, ntyp = 3
/
ATOMIC_SPECIES
Tb 158.93 Tb.upf
Ge 72.64 Ge.upf
Se 78.96 Se.upf
CELL_PARAMETERS angstrom
6.656 -2.036 0.000
6.656 2.036 0.000
-0.011 0.000 24.165
ATOMIC_POSITIONS crystal
Tb 0.036 0.036 0.250
Tb 0.139 0.139 0.538
Tb 0.139 0.139 0.962
Tb 0.306 0.306 0.181
Tb 0.306 0.306 0.319
Tb 0.407 0.407 0.618
Tb 0.407 0.407 0.882
Tb 0.593 0.593 0.118
Tb 0.593 0.593 0.382
Tb 0.694 0.694 0.681
Tb 0.694 0.694 0.819
Tb 0.861 0.861 0.038
Tb 0.861 0.861 0.462
Tb 0.964 0.964 0.750
Ge 0.308 0.308 0.750
Ge 0.692 0.692 0.250
Se 0.052 0.052 0.644
Se 0.052 0.052 0.856
Se 0.223 0.223 0.072
Se 0.223 0.223 0.428
Se 0.500 0.500 0.000
Se 0.500 0.500 0.500
Se 0.777 0.777 0.572
Se 0.777 0.777 0.928
Se 0.948 0.948 0.144
Se 0.948 0.948 0.356


Record 4
! PBE-GGA BaEr3B4O12, relaxed; values from VASP
! * calculated volume: 267.7 Å³/cell
! * symmetry: R32 (155)
! * total magnetization: 0.052 μB/atom
! * formation energy (no corrections): -2938.6 meV per atom
&SYSTEM
  ibrav = 0, nat = 20, ntyp = 4
/
ATOMIC_SPECIES
Ba 137.33 Ba.upf
Er 167.26 Er.upf
B 10.81 B.upf
O 16.00 O.upf
CELL_PARAMETERS angstrom
5.130 2.962 2.936
-5.130 2.962 2.936
0.000 -5.924 2.936
ATOMIC_POSITIONS crystal
Ba 0.000 0.000 0.000
Er 0.000 0.547 0.453
Er 0.453 0.000 0.547
Er 0.547 0.453 0.000
B 0.047 0.500 0.953
B 0.500 0.500 0.500
B 0.500 0.953 0.047
B 0.953 0.047 0.500
O 0.022 0.607 0.796
O 0.089 0.911 0.500
O 0.204 0.393 0.978
O 0.364 0.636 0.500
O 0.393 0.978 0.204
O 0.500 0.089 0.911
O 0.500 0.364 0.636
O 0.607 0.796 0.022
O 0.636 0.500 0.364
O 0.796 0.022 0.607
O 0.911 0.500 0.089
O 0.978 0.204 0.393


> What is the formula in the second record?

Pu2GaRu